The following is a DFT calculation (PBE-GGA) of TlCdSbAu after structural relaxation.

Properties
The calculation puts the density of states at the Fermi level at 1.63 states/eV/f.u. For the uncorrected formation energy, the calculation gives 2.15 kcal/mol of atoms.

a = 7.3500 Å, b = 7.3500 Å, c = 7.3500 Å
α = 90.00°, β = 90.00°, γ = 90.00°
Closest atoms and distances in Å follow each position.
Space group F-43m (No. 216)
Asymmetric unit:
Tl1 0.0000 0.0000 0.0000  4 Au 3.18, 4 Cd 3.18
Cd1 0.2500 0.2500 0.7500  4 Tl 3.18, 4 Sb 3.18
Sb1 0.0000 0.0000 0.5000  4 Cd 3.18, 4 Au 3.18
Au1 0.2500 0.2500 0.2500  4 Sb 3.18, 4 Tl 3.18

=====

The following is a DFT calculation (PBE-GGA) of Tl2CdSb2Au7 after structural relaxation.

Properties
The calculation puts the density of states at the Fermi level at 3.98 states/eV/f.u. For the uncorrected formation energy, the calculation gives -0.88 kcal/mol of atoms.

a = 6.2436 Å, b = 6.1251 Å, c = 15.3214 Å
α = 90.00°, β = 97.96°, γ = 90.00°
Closest atoms and distances in Å follow each position.
Space group C2/m (No. 12)
Asymmetric unit:
Tl1 0.0816 0.0000 0.3924  5 Au 3.04-3.33
Cd1 0.0000 0.0000 0.0000  12 Au 2.96-3.12
Sb1 0.0742 0.5000 0.2422  5 Au 2.74-2.77
Au1 0.0000 0.5000 0.0000  8 Au 2.95-2.97, 4 Cd 3.06-3.12
Au2 0.0735 0.5000 0.4211  1 Au 2.70, 1 Sb 2.74
Au3 0.2077 0.2478 0.8685  2 Sb 2.75-2.77, 3 Au 2.95-3.04, 2 Cd 2.96

=====

The following is a DFT calculation (PBE-GGA) of ZrCdSb2Au after structural relaxation.

Properties
The calculation puts the density of states at the Fermi level at 5.49 states/eV/f.u. For the uncorrected formation energy, the calculation gives 13.03 kcal/mol of atoms.

a = 5.4804 Å, b = 5.4804 Å, c = 5.6794 Å
α = 90.00°, β = 90.00°, γ = 90.00°
Closest atoms and distances in Å follow each position.
Space group P4/mmm (No. 123)
Asymmetric unit:
Zr1 0.0000 0.0000 0.0000  4 Sb 2.74, 2 Cd 2.84
Cd1 0.0000 0.0000 0.5000  2 Zr 2.84
Sb1 0.0000 0.5000 0.0000  2 Zr 2.74
Au1 0.5000 0.5000 0.5000  4 Cd 3.88, 8 Sb 3.95

=====

The following is a DFT calculation (PBE-GGA) of Sc7Cd2Au2 after structural relaxation.

Properties
The formation energy is -165 meV per atom. The calculation puts the density of states at the Fermi level at 15.70 states/eV/f.u.

a = 7.5508 Å, b = 10.4438 Å, c = 6.9141 Å
α = 90.00°, β = 90.00°, γ = 90.00°
Closest atoms and distances in Å follow each position.
Space group Cmmm (No. 65)
Asymmetric unit:
Sc1 0.0000 0.0000 0.0000  2 Au 3.04
Sc2 0.0000 0.5000 0.2548  2 Au 2.80, 2 Cd 2.95
Sc3 0.2500 0.2500 0.2709  2 Au 2.69
Cd1 0.1801 0.0000 0.5000  1 Cd 2.72, 2 Sc 2.95
Au1 0.0000 0.2913 0.0000  6 Sc 2.69-2.80